The following is a DFT calculation (PBEsol) of BaZrPb after structural relaxation.

Results
For the formation energy from the elements, the calculation gives 0.488 eV per atom. The calculation puts the magnetic moment at 0.608 μB per atom. For the density of states at the Fermi level, the calculation gives 1.39 states/eV/atom. The calculation puts the density at 7.330 g/cm3.

Cell lengths 5.188, 5.188, 5.188 Å; angles 60.00, 60.00, 60.00 degrees
Positions (direct):
Pb: 0.500 0.500 0.500
Ba: 0.000 0.000 0.000
Zr: 0.250 0.250 0.250